## CeSnHg2 (PBE)

Data for an optimized crystal structure of CeSnHg2.

Lattice parameters (Å, degrees): 4.7088 4.7088 9.5534 90.00 90.00 90.00
Each line ends with the local moment (μB).
Sites, in units of the cell vectors:
Sn  0.0000  0.0000  0.0000  0.01
Sn  0.5000  0.5000  0.0000  0.01
Ce  0.5000  0.0000  0.7455  0.92
Ce  0.0000  0.5000  0.2545  0.92
Hg  0.5000  0.0000  0.2632  0.03
Hg  0.0000  0.0000  0.5000  0.02
Hg  0.0000  0.5000  0.7368  0.03
Hg  0.5000  0.5000  0.5000  0.02

Summary:
Energy of formation from the pure elements (eV per atom): -0.289
Space-group type: P4/nmm
Electronic total energy (Ry/atom): -0.2149
V (Å³/atom): 26.48